# TbSc5Sn6 GGA-PBE optimized geometry
# total energy: -0.41054 Ry per atom
# formation enthalpy at 0 K: -0.560 eV/atom
data_TbSc5Sn6
_cell_length_a 7.197
_cell_length_b 7.197
_cell_length_c 8.287
_cell_angle_alpha 94.53
_cell_angle_beta 94.53
_cell_angle_gamma 135.69
_space_group_name_H-M_alt 'P 1'
_space_group_IT_number 1
loop_
_space_group_symop_operation_xyz
'x,y,z'
loop_
_atom_site_label
_atom_site_fract_x
_atom_site_fract_y
_atom_site_fract_z
Tb1 0.000 0.000 0.000
Sc1 0.000 0.000 0.500
Sc2 0.328 0.672 0.000
Sc3 0.339 0.661 0.500
Sc4 0.661 0.339 0.500
Sc5 0.672 0.328 0.000
Sn1 0.165 0.824 0.259
Sn2 0.176 0.835 0.741
Sn3 0.478 0.478 0.753
Sn4 0.522 0.522 0.247
Sn5 0.824 0.165 0.259
Sn6 0.835 0.176 0.741